## A
# TaNbC2

A crystal of TaNbC2 relaxed with PBEsol (meta-GGA SCAN, the Alexandria database).

The structure belongs to space group Fm-3m (No. 225); the cell edges are 5.5536, 5.5536 and 5.5536 Å and the angles 90.00°, 90.00° and 90.00°. The distinct sites, in fractional coordinates, are Ta at (0.0000, 0.0000, 0.0000), Nb at (0.0000, 0.0000, 0.5000) and C at (0.2500, 0.2500, 0.2500).

The calculated volume comes out at 171.3 Å³/cell.

## B
# TaNbC2

A crystal of TaNbC2 relaxed with PBEsol (meta-GGA SCAN, the Alexandria database).

The structure belongs to space group R-3m (No. 166, hexagonal axes); the cell edges are 3.1504, 3.1504 and 15.4630 Å and the angles 90.00°, 90.00° and 120.00°. The distinct sites, in fractional coordinates, are Ta at (0.0000, 0.0000, 0.0000), Nb at (0.0000, 0.0000, 0.5000) and C at (0.0000, 0.0000, 0.2519).

The calculated volume comes out at 132.9 Å³/cell.

Most stable: B (next structure +100.0 kJ/mol of atoms)

## A
# Ni2C

A crystal of Ni2C relaxed with PBEsol (meta-GGA SCAN, the Alexandria database).

The structure belongs to space group P-3m1 (No. 164); the cell edges are 2.8405, 2.8405 and 3.9395 Å and the angles 90.00°, 90.00° and 120.00°. The distinct sites, in fractional coordinates, are Ni at (0.3333, 0.6667, 0.2447) and C at (0.0000, 0.0000, 0.0000).

The calculated volume comes out at 27.5 Å³/cell.

## B
# Ni2C

A crystal of Ni2C relaxed with PBEsol (meta-GGA SCAN, the Alexandria database).

The structure belongs to space group R-3m (No. 166, hexagonal axes); the cell edges are 2.8938, 2.8938 and 11.4744 Å and the angles 90.00°, 90.00° and 120.00°. The distinct sites, in fractional coordinates, are Ni at (0.0000, 0.0000, 0.2477) and C at (0.0000, 0.0000, 0.5000).

The calculated volume comes out at 83.3 Å³/cell.

Most stable: A (next structure +6.6 kJ/mol of atoms)

## A
# NiC3

A crystal of NiC3 relaxed with PBEsol (meta-GGA SCAN, the Alexandria database).

The structure belongs to space group P4/mmm (No. 123); the cell edges are 3.3775, 3.3775 and 2.6327 Å and the angles 90.00°, 90.00° and 90.00°. The distinct sites, in fractional coordinates, are Ni at (0.0000, 0.0000, 0.0000), C at (0.0000, 0.5000, 0.5000) and C at (0.5000, 0.5000, 0.0000).

The calculated volume comes out at 30.0 Å³/cell.

## B
# NiC3

A crystal of NiC3 relaxed with PBEsol (meta-GGA SCAN, the Alexandria database).

The structure belongs to space group Immm (No. 71); the cell edges are 2.4964, 3.6063 and 7.3498 Å and the angles 90.00°, 90.00° and 90.00°. The distinct sites, in fractional coordinates, are Ni at (0.0000, 0.0000, 0.0000), C at (0.0000, 0.0000, 0.5000) and C at (0.0000, 0.5000, 0.1312).

The calculated volume comes out at 66.2 Å³/cell.

Most stable: B (next structure +104.7 kJ/mol of atoms)

## A
# NiC3

A crystal of NiC3 relaxed with PBEsol (meta-GGA SCAN, the Alexandria database).

The structure belongs to space group Pm-3m (No. 221); the cell edges are 3.6847, 3.6847 and 3.6847 Å and the angles 90.00°, 90.00° and 90.00°. The distinct sites, in fractional coordinates, are Ni at (0.0000, 0.0000, 0.0000) and C at (0.0000, 0.0000, 0.5000).

The calculated volume comes out at 50.0 Å³/cell.

## B
# NiC3

A crystal of NiC3 relaxed with PBEsol (meta-GGA SCAN, the Alexandria database).

The structure belongs to space group P-6m2 (No. 187); the cell edges are 2.4911, 2.4911 and 5.1944 Å and the angles 90.00°, 90.00° and 120.00°. The distinct sites, in fractional coordinates, are Ni at (0.0000, 0.0000, 0.0000), C at (0.0000, 0.0000, 0.5000) and C at (0.6667, 0.3333, 0.3164).

The calculated volume comes out at 27.9 Å³/cell.

## C
# NiC3

A crystal of NiC3 relaxed with PBEsol (meta-GGA SCAN, the Alexandria database).

The structure belongs to space group P2/m (No. 10); the cell edges are 3.3638, 2.4229 and 4.1200 Å and the angles 90.00°, 111.55° and 90.00°. The distinct sites, in fractional coordinates, are Ni at (0.0000, 0.0000, 0.0000), C at (0.0000, 0.0000, 0.5000) and C at (0.2660, 0.5000, 0.4176).

The calculated volume comes out at 31.2 Å³/cell.

Most stable: C (next structure +77.9 kJ/mol of atoms)

## A
# Pd2CO

A crystal of Pd2CO relaxed with PBEsol (meta-GGA SCAN, the Alexandria database).

The structure belongs to space group I-42d (No. 122); the cell edges are 4.5560, 4.5560 and 9.9648 Å and the angles 90.00°, 90.00° and 90.00°. The distinct sites, in fractional coordinates, are Pd at (0.2106, 0.2500, 0.1250), C at (0.0000, 0.0000, 0.0000) and O at (0.0000, 0.0000, 0.5000).

The calculated volume comes out at 206.8 Å³/cell.

## B
# Pd2CO

A crystal of Pd2CO relaxed with PBEsol (meta-GGA SCAN, the Alexandria database).

The structure belongs to space group Fm-3m (No. 225); the cell edges are 5.4580, 5.4580 and 5.4580 Å and the angles 90.00°, 90.00° and 90.00°. The distinct sites, in fractional coordinates, are Pd at (0.2500, 0.2500, 0.2500), C at (0.0000, 0.0000, 0.0000) and O at (0.0000, 0.0000, 0.5000).

The calculated volume comes out at 162.6 Å³/cell.

Most stable: A (next structure +50.5 kJ/mol of atoms)

## A
# Rb4CO4

A crystal of Rb4CO4 relaxed with PBEsol (meta-GGA SCAN, the Alexandria database).

The structure belongs to space group R3m (No. 160, hexagonal axes); the cell edges are 7.8917, 7.8917 and 9.8186 Å and the angles 90.00°, 90.00° and 120.00°. The distinct sites, in fractional coordinates, are Rb at (0.0000, 0.0000, 0.0000), Rb at (0.0399, 0.5200, 0.9557), C at (0.0000, 0.0000, 0.7217), O at (0.0000, 0.0000, 0.5749) and O at (0.0993, 0.1985, 0.7703).

The calculated volume comes out at 529.6 Å³/cell.

## B
# Rb4CO4

A crystal of Rb4CO4 relaxed with PBEsol (meta-GGA SCAN, the Alexandria database).

The structure belongs to space group I222 (No. 23); the cell edges are 5.3039, 6.6071 and 10.2135 Å and the angles 90.00°, 90.00° and 90.00°. The distinct sites, in fractional coordinates, are Rb at (0.1576, 0.2492, 0.1455), C at (0.0000, 0.5000, 0.5000) and O at (0.1535, 0.3758, 0.4168).

The calculated volume comes out at 357.9 Å³/cell.

Most stable: B (next structure +7.5 kJ/mol of atoms)